Record 1
! YErTlO, optimized geometry, DFT GGA-PBE; values from VASP
&SYSTEM
  ibrav = 0, nat = 4, ntyp = 4
/
ATOMIC_SPECIES
O 16.00 O.upf
Tl 204.38 Tl.upf
Y 88.91 Y.upf
Er 167.26 Er.upf
ATOMIC_POSITIONS angstrom
O -1.7432 -1.3779 -1.4373
Tl -0.9942 -4.6247 0.7045
Y -2.3743 -1.5338 0.7208
Er -3.5813 -5.1928 2.7795
CELL_PARAMETERS angstrom
-3.4441 0.5935 -0.9642
0.5316 -1.9030 -3.0701
-0.4618 -5.1598 5.2889
! **Symmetry**: Imm2, No. 44
! **Spin magnetization**: 0.9 Bohr magnetons per cell
! **Density of states at the Fermi level**: 0.382 states/eV/atom
! **Density**: 8.61 g/cm³
! **Raw formation energy**: -1.659 eV/atom

=====

Record 2
! ErTlZnO4, optimized geometry, DFT GGA-PBE; values from VASP
&SYSTEM
  ibrav = 0, nat = 14, ntyp = 4
/
ATOMIC_SPECIES
Zn 65.41 Zn.upf
O 16.00 O.upf
Tl 204.38 Tl.upf
Er 167.26 Er.upf
ATOMIC_POSITIONS angstrom
Zn 1.8235 -7.1763 -1.6307
O 3.6605 -11.3825 0.3030
Tl 1.2967 -2.3339 1.9149
O 2.3500 -9.1490 -1.6014
Er 0.0000 0.0000 0.0000
O 4.6599 -8.3139 0.7047
O 3.3299 -5.8688 -1.1938
Er 3.3866 -4.5039 0.6041
Tl 0.3726 -5.4271 1.5304
O 1.2645 -3.8118 0.1362
O 1.5951 -9.3255 1.6330
O 2.5751 -6.0452 2.0407
Zn 3.1015 -8.0180 2.0700
O 0.2652 -6.8804 -0.2654
CELL_PARAMETERS angstrom
-1.8482 -6.1865 -0.7688
4.1799 -4.3400 -2.6216
2.5933 -4.6678 3.8297
! **Symmetry**: Imma, No. 74
! **Spin magnetization**: 0.0 Bohr magnetons per cell
! **Density**: 8.29 g/cm³
! **Raw formation energy**: -1.838 eV/atom

=====

Q: Look up the density of the first one.
A: 8.61 g/cm³